*P*
VASP calculation (PBE-GGA) on a relaxed structure of AsS.

## Properties
size of the total moment = 0.00 μB per cell

a b c (Å): 4.477 4.477 5.338
angles (deg): 90.00 90.00 120.00
Atoms (fractional coordinates):
1 As 0.333 0.667 0.250
2 As 0.667 0.333 0.750
3 S 0.333 0.667 0.750
4 S 0.667 0.333 0.250



*Q*
VASP calculation (PBE-GGA) on a relaxed structure of AsS.

## Properties
size of the total moment = 0.00 μB per cell

a b c (Å): 5.826 9.162 11.040
angles (deg): 90.00 90.00 90.00
Atoms (fractional coordinates):
1 As 0.150 0.178 0.200
2 As 0.209 0.810 0.241
3 As 0.291 0.190 0.741
4 As 0.350 0.822 0.700
5 As 0.650 0.322 0.800
6 As 0.709 0.690 0.759
7 As 0.791 0.310 0.259
8 As 0.850 0.678 0.300
9 S 0.160 0.015 0.357
10 S 0.202 0.638 0.387
11 S 0.298 0.362 0.887
12 S 0.340 0.985 0.857
13 S 0.660 0.485 0.643
14 S 0.702 0.862 0.613
15 S 0.798 0.138 0.113
16 S 0.840 0.515 0.143



Sorted by energy, starting with the most stable: *Q*, *P*.